Density functional theory data (PBE-GGA) for a relaxed CdRePt2 crystal.

Unit cell a=2.806 b=2.806 c=8.282 alpha=90.00 beta=90.00 gamma=90.00
Fractional coordinates of all 4 atoms:
Cd1 0.000 0.000 0.000
Re1 0.000 0.000 0.500
Pt1 0.500 0.500 0.271
Pt2 0.500 0.500 0.729

Its calculated density is 17.5 g cm⁻³. The formation energy comes out at -177 meV per atom. As for the crystal system: tetragonal.